Li2ThGe2Au: optimized geometry, PBE.

Cell lengths 4.341, 4.341, 6.887 Å; angles 90.00, 90.00, 120.00 degrees
Positions (direct):
Li 0.333 0.667 0.144
Li 0.667 0.333 0.856
Th 0.000 0.000 0.500
Ge 0.333 0.667 0.754
Ge 0.667 0.333 0.246
Au 0.000 0.000 0.000

Summary:
Formation energy in eV/atom: -0.5190


SrLaAs2Pd: optimized geometry, PBE.

Cell lengths 5.456, 5.456, 5.930 Å; angles 90.00, 90.00, 90.00 degrees
Positions (direct):
Sr 0.000 0.000 0.000
La 0.000 0.000 0.500
As 0.000 0.500 0.000
As 0.500 0.000 0.000
Pd 0.500 0.500 0.500

Summary:
Formation energy in eV/atom: 0.9385


LiN3O: optimized geometry, PBE.

Cell lengths 3.505, 3.505, 3.505 Å; angles 90.00, 90.00, 90.00 degrees
Positions (direct):
Li 0.000 0.000 0.000
N 0.000 0.000 0.500
N 0.000 0.500 0.000
N 0.500 0.000 0.000
O 0.500 0.500 0.500

Summary:
Raw formation energy in kJ per mole of atoms: 304.0


LiSbF2: optimized geometry, PBE.

Cell lengths 7.749, 7.749, 7.749 Å; angles 23.99, 23.99, 23.99 degrees
Positions (direct):
Li 0.000 0.000 0.000
Sb 0.500 0.500 0.500
F 0.076 0.076 0.076
F 0.924 0.924 0.924

Summary:
Raw formation energy in kJ per mole of atoms: -161.6


Number 1: calculated volume 18.73 A^3/atom. Number 2: calculated volume 35.31 A^3/atom. Number 3: calculated volume 8.62 A^3/atom. Number 4: calculated volume 16.89 A^3/atom.